A relaxed LiNi6O7 crystal. Source: the Alexandria database, functional PBE+U.

Values from the calculation:
**Space group**: P-1
**Density**: 6085 kg/m3
**Raw total energy**: -135.621 eV for the cell shown
**DOS at the Fermi energy**: 4.4 states/eV/f.u.

a = 5.1282 Å, b = 5.9232 Å, c = 8.8861 Å
α = 89.96°, β = 95.53°, γ = 106.79°
Atoms (fractional coordinates):
Li 0.6426 0.2856 0.7857
Li 0.3574 0.7144 0.2143
Ni 0.7858 0.5714 0.0713
Ni 0.7815 0.0704 0.0703
Ni 0.6435 0.7859 0.7860
Ni 0.3565 0.2141 0.2140
Ni 0.5000 0.5000 0.5000
Ni 0.5000 0.0000 0.5000
Ni 0.2142 0.4286 0.9287
Ni 0.2185 0.9296 0.9297
Ni 0.0693 0.6402 0.6442
Ni 0.0736 0.1455 0.6457
Ni 0.9307 0.3598 0.3558
Ni 0.9264 0.8545 0.3543
O 0.9370 0.1040 0.8581
O 0.6471 0.5327 0.2871
O 0.6479 0.0418 0.2881
O 0.7849 0.8226 0.5704
O 0.7870 0.3202 0.5665
O 0.5034 0.7487 0.9950
O 0.4966 0.2513 0.0050
O 0.3529 0.4673 0.7129
O 0.3521 0.9582 0.7119
O 0.0641 0.3859 0.1395
O 0.0630 0.8960 0.1419
O 0.2130 0.6798 0.4335
O 0.2151 0.1774 0.4296
O 0.9359 0.6141 0.8605